A plane-wave DFT calculation with PBE with a Hubbard U was carried out for an optimized crystal structure of NaNpMo2O8.

The structure in extended XYZ format:
```
12
Lattice="3.4307 -3.5009 0.0000 3.4307 3.5009 0.0000 0.0000 0.0000 6.5571" Properties=species:S:1:pos:R:3 pbc="T T T"
Na 0.0000 0.0000 0.0000
Np 0.0000 0.0000 3.2785
Mo 3.4307 0.0000 1.5537
Mo 3.4307 0.0000 5.0034
O 1.5241 0.0000 1.7876
O 1.5241 0.0000 4.7694
O 3.4307 1.3849 3.2785
O 3.4307 1.2382 0.0000
O 3.4307 -1.2382 0.0000
O 3.4307 -1.3849 3.2785
O 5.3372 0.0000 1.7876
O 5.3372 0.0000 4.7694
```

Calculated values
- Calculated volume: 13.1 Å³/atom
- Density of states at the Fermi level: 3.465 states/eV/f.u.
- Total energy: -7.70 eV/atom
- Crystal system: orthorhombic
- Space-group type: No. 65